4
Lattice="4.461 0.000 0.000 2.231 3.864 0.000 2.231 1.288 3.643" Properties=species:S:1:pos:R:3 comment="BaCo3 (meta-GGA SCAN, PBEsol geometry)" formation_enthalpy_0k_ev_per_atom=1.27 e_tot_ev_per_atom=-21.598 sg=Fm-3m pbc="T T T"
Co 2.231 1.288 0.911
Co 4.461 2.576 1.821
Co 6.692 3.864 2.732
Ba 0.000 0.000 0.000

6
Lattice="4.470 0.000 0.000 0.000 7.141 0.000 0.000 0.000 7.115" Properties=species:S:1:pos:R:3 comment="Ba2Co (meta-GGA SCAN, PBEsol geometry)" formation_enthalpy_0k_ev_per_atom=0.49 e_tot_ev_per_atom=-31.648 sg=Pnnm pbc="T T T"
Ba 0.000 4.898 2.020
Ba 0.000 2.242 5.095
Ba 2.235 5.813 5.577
Ba 2.235 1.328 1.538
Co 0.000 0.000 0.000
Co 2.235 3.570 3.557

6
Lattice="3.507 0.000 0.000 0.000 3.504 0.000 0.000 -1.752 7.849" Properties=species:S:1:pos:R:3 comment="BaCo5 (meta-GGA SCAN, PBEsol geometry)" formation_enthalpy_0k_ev_per_atom=0.45 e_tot_ev_per_atom=-20.558 sg=Amm2 pbc="T T T"
Ba 0.000 1.752 7.759
Co 0.000 1.752 3.311
Co 0.000 0.000 4.926
Co 1.754 1.752 1.857
Co 1.754 0.000 3.324
Co 1.754 1.752 4.988

4
Lattice="3.499 0.000 0.000 -1.749 3.030 0.000 0.000 0.000 7.149" Properties=species:S:1:pos:R:3 comment="BaCo3 (meta-GGA SCAN, PBEsol geometry)" formation_enthalpy_0k_ev_per_atom=0.90 e_tot_ev_per_atom=-21.968 sg=P-6m2 pbc="T T T"
Co 0.000 0.000 3.575
Co 0.000 2.020 4.701
Co 0.000 2.020 2.448
Ba 0.000 0.000 0.000